Below is crystalline Cs2SmZnBr6 at its relaxed geometry, with properties calculated at the PBE level.

Values from the calculation:
As for the total energy: -32.80 eV/cell. Its spin magnetization is 0.000 μB per atom. The uncorrected formation energy is -1.506 eV per atom.

a = 8.167 Å, b = 8.167 Å, c = 8.148 Å
α = 59.90°, β = 59.90°, γ = 89.98°
Fractional positions:
Br: 0.752 0.752 0.000
Zn: 0.500 0.500 0.000
Cs: 0.250 0.750 0.500
Sm: 0.000 0.000 0.000
Br: 0.248 0.752 0.000
Br: 0.248 0.248 0.000
Br: 0.249 0.249 0.501
Br: 0.752 0.248 0.000
Cs: 0.750 0.250 0.500
Br: 0.751 0.751 0.499